#one
First-principles (PBE) data for a relaxed structure of CrSnPS2, as listed in the Alexandria database.

Results
magnetization: 1.97 μB/f.u.

```
CrSnPS2
1.0
4.6976 0.0000 0.0000
0.0000 4.6976 0.0000
0.0000 0.0000 4.4922
Cr Sn P S
1 1 1 2
direct
0.0000 0.0000 0.0000
0.5000 0.5000 0.5000
0.0000 0.0000 0.5000
0.0000 0.5000 0.0000
0.5000 0.0000 0.0000
```

---

#two
First-principles (PBE) data for a relaxed structure of CrSnPS2, as listed in the Alexandria database.

Results
magnetization: 3.15 μB/f.u.

```
CrSnPS2
1.0
4.9872 0.0000 0.0000
0.0000 4.9872 0.0000
0.0000 0.0000 5.0317
Cr Sn P S
1 1 1 2
direct
0.0000 0.0000 0.0000
0.5000 0.5000 0.5000
0.5000 0.5000 0.0000
0.0000 0.5000 0.5000
0.5000 0.0000 0.5000
```

---

So which one wins? Going from most stable to least: #one, #two.